Model A:
# CoTe2Ru, optimized geometry, DFT PBE-GGA
data_CoTe2Ru
_cell_length_a 3.2920
_cell_length_b 3.2927
_cell_length_c 6.6424
_cell_angle_alpha 90.00
_cell_angle_beta 90.18
_cell_angle_gamma 90.00
_space_group_name_H-M_alt 'P 1 2/m 1'
_space_group_IT_number 10
_space_group_name_Hall '-P 2y'
loop_
_atom_site_label
_atom_site_type_symbol
_atom_site_fract_x
_atom_site_fract_y
_atom_site_fract_z
_atom_site_occupancy
Co1 Co 0.0000 0.0000 0.0000 1
Te1 Te 0.4971 0.5000 0.2474 1
Ru1 Ru 0.0000 0.0000 0.5000 1
# Calculated volume ... 18.00 Å³/atom
# Theoretical density ... 9.58 Mg/m³
# Fermi-level density of states ... 5.393 states/eV per cell
# Magnetic moment ... 1.79 μB per formula unit

Model B:
# CoTe2Ru, optimized geometry, DFT PBE-GGA
data_CoTe2Ru
_cell_length_a 3.8636
_cell_length_b 3.8636
_cell_length_c 9.6452
_cell_angle_alpha 90.00
_cell_angle_beta 90.00
_cell_angle_gamma 90.00
_space_group_name_H-M_alt 'I -4 m 2'
_space_group_IT_number 119
_space_group_name_Hall 'I -4 -2'
loop_
_atom_site_label
_atom_site_type_symbol
_atom_site_fract_x
_atom_site_fract_y
_atom_site_fract_z
_atom_site_occupancy
Co1 Co 0.0000 0.0000 0.0000 1
Te1 Te 0.0000 0.0000 0.5000 1
Te2 Te 0.0000 0.5000 0.2500 1
Ru1 Ru 0.0000 0.5000 0.7500 1
# Calculated volume ... 18.00 Å³/atom
# Theoretical density ... 9.58 Mg/m³
# Fermi-level density of states ... 6.544 states/eV per cell
# Magnetic moment ... 0.00 μB per formula unit

Quick one: least stable of them? model B